(1)
VASP calculation (GGA-PBE) on a geometry-optimized PmZnCuRh structure.

It has space group Cm (No. 8), with a = 7.456 Å, b = 4.317 Å, c = 5.359 Å, α = 90.00°, β = 117.73° and γ = 90.00°. The inequivalent atoms are Pm at (0.000, 0.000, 0.000), Zn at (0.496, 0.000, 0.488), Cu at (0.203, 0.000, 0.608) and Rh at (0.292, 0.500, 0.374).

The energy relative to the lowest polymorph listed for this composition comes out at 0 meV per atom. As for the density of states at the Fermi level: 4.517 states/eV per cell.

(2)
VASP calculation (GGA-PBE) on a geometry-optimized Cd3CuO4 structure.

It has space group Pmn2_1 (No. 31), with a = 7.178 Å, b = 6.155 Å, c = 5.667 Å, α = 90.00°, β = 90.00° and γ = 90.00°. The inequivalent atoms are Cd at (0.000, 0.156, 0.000), Cd at (0.248, 0.331, 0.497), Cu at (0.000, 0.829, 0.499), O at (0.000, 0.136, 0.604), O at (0.000, 0.822, 0.150) and O at (0.232, 0.681, 0.600).

As for the density of states at the Fermi level: 11.942 states/eV per cell. The raw formation energy is -0.81 eV/atom.

(3)
VASP calculation (GGA-PBE) on a geometry-optimized PdPtPb3 structure.

It has space group P2_1/c (No. 14), with a = 8.684 Å, b = 7.155 Å, c = 8.274 Å, α = 90.00°, β = 106.60° and γ = 90.00°. The inequivalent atoms are Pd at (0.098, 0.047, 0.164), Pt at (0.449, 0.685, 0.475), Pb at (0.147, 0.666, 0.002), Pb at (0.202, 0.130, 0.865) and Pb at (0.438, 0.011, 0.285).

The energy relative to the lowest polymorph listed for this composition comes out at 4 meV per atom. As for the density of states at the Fermi level: 8.880 states/eV per cell.

(4)
VASP calculation (GGA-PBE) on a geometry-optimized ZnSb2Se structure.

It has space group P2/m (No. 10), with a = 3.525 Å, b = 4.798 Å, c = 5.703 Å, α = 90.00°, β = 90.29° and γ = 90.00°. The inequivalent atoms are Zn at (0.000, 0.000, 0.000), Sb at (0.000, 0.000, 0.500), Sb at (0.500, 0.500, 0.000) and Se at (0.500, 0.500, 0.500).

The energy relative to the lowest polymorph listed for this composition comes out at 207 meV per atom. As for the density of states at the Fermi level: 1.539 states/eV per cell. The raw formation energy is 0.01 eV/atom.

(5)
VASP calculation (GGA-PBE) on a geometry-optimized HoH3Pt structure.

It has space group Pm-3m (No. 221), with a = 3.710 Å, b = 3.710 Å, c = 3.710 Å, α = 90.00°, β = 90.00° and γ = 90.00°. The inequivalent atoms are Ho at (0.000, 0.000, 0.000), H at (0.000, 0.500, 0.500) and Pt at (0.500, 0.500, 0.500).

As for the density of states at the Fermi level: 2.759 states/eV per cell.

(6)
VASP calculation (GGA-PBE) on a geometry-optimized Ag2SbSe structure.

It has space group Cmmm (No. 65), with a = 4.488 Å, b = 4.786 Å, c = 8.013 Å, α = 90.00°, β = 90.00° and γ = 90.00°. The inequivalent atoms are Ag at (0.000, 0.000, 0.231), Sb at (0.000, 0.500, 0.500) and Se at (0.000, 0.500, 0.000).

As for the density of states at the Fermi level: 4.261 states/eV per cell. The raw formation energy is 0.17 eV/atom.

(7)
VASP calculation (GGA-PBE) on a geometry-optimized P2IrSO structure.

It has space group P4/mmm (No. 123), with a = 3.974 Å, b = 3.974 Å, c = 4.319 Å, α = 90.00°, β = 90.00° and γ = 90.00°. The inequivalent atoms are P at (0.000, 0.500, 0.000), Ir at (0.000, 0.000, 0.500), S at (0.500, 0.500, 0.500) and O at (0.500, 0.500, 0.000).

The energy relative to the lowest polymorph listed for this composition comes out at 349 meV per atom. As for the density of states at the Fermi level: 1.654 states/eV per cell. The raw formation energy is 0.74 eV/atom.

(8)
VASP calculation (GGA-PBE) on a geometry-optimized AlAgIN2 structure.

It has space group P4/mmm (No. 123), with a = 4.229 Å, b = 4.229 Å, c = 7.288 Å, α = 90.00°, β = 90.00° and γ = 90.00°. The inequivalent atoms are Al at (0.000, 0.000, 0.000), Ag at (0.500, 0.500, 0.500), I at (0.500, 0.500, 0.000) and N at (0.000, 0.500, 0.500).

The energy relative to the lowest polymorph listed for this composition comes out at 932 meV per atom. As for the density of states at the Fermi level: 2.159 states/eV per cell. The raw formation energy is 1.72 eV/atom.

(9)
VASP calculation (GGA-PBE) on a geometry-optimized Ni5MoPt structure.

It has space group Cmcm (No. 63), with a = 7.665 Å, b = 4.969 Å, c = 9.421 Å, α = 90.00°, β = 90.00° and γ = 90.00°. The inequivalent atoms are Ni at (0.000, 0.145, 0.250), Ni at (0.220, 0.369, 0.113), Mo at (0.000, 0.000, 0.000) and Pt at (0.000, 0.343, 0.750).

As for the density of states at the Fermi level: 47.063 states/eV per cell.

(10)
VASP calculation (GGA-PBE) on a geometry-optimized ErZrIn2 structure.

It has space group R-3m (No. 166, hexagonal axes), with a = 3.4217 Å, b = 3.4217 Å, c = 29.9533 Å, α = 90.00°, β = 90.00° and γ = 120.00°. The inequivalent atoms are Er at (0.0000, 0.0000, 0.0000), Zr at (0.0000, 0.0000, 0.5000) and In at (0.0000, 0.0000, 0.2476).

As for the density of states at the Fermi level: 11.795 states/eV per cell.

(11)
VASP calculation (GGA-PBE) on a geometry-optimized LaAs2Os structure.

It has space group Cmmm (No. 65), with a = 5.816 Å, b = 6.878 Å, c = 4.039 Å, α = 90.00°, β = 90.00° and γ = 90.00°. The inequivalent atoms are La at (0.000, 0.000, 0.000), As at (0.250, 0.250, 0.500) and Os at (0.000, 0.500, 0.000).

The energy relative to the lowest polymorph listed for this composition comes out at 650 meV per atom. As for the density of states at the Fermi level: 6.862 states/eV per cell.

(12)
VASP calculation (GGA-PBE) on a geometry-optimized Sb2HS structure.

It has space group I-42d (No. 122), with a = 5.785 Å, b = 5.785 Å, c = 10.498 Å, α = 90.00°, β = 90.00° and γ = 90.00°. The inequivalent atoms are Sb at (0.165, 0.250, 0.125), H at (0.000, 0.000, 0.000) and S at (0.000, 0.000, 0.500).

The energy relative to the lowest polymorph listed for this composition comes out at 0 meV per atom. As for the density of states at the Fermi level: 7.397 states/eV per cell.

(13)
VASP calculation (GGA-PBE) on a geometry-optimized Na2CoTc structure.

It has space group I-42d (No. 122), with a = 10.272 Å, b = 10.272 Å, c = 4.327 Å, α = 90.00°, β = 90.00° and γ = 90.00°. The inequivalent atoms are Na at (0.106, 0.750, 0.125), Co at (0.000, 0.000, 0.000) and Tc at (0.000, 0.000, 0.500).

The energy relative to the lowest polymorph listed for this composition comes out at 0 meV per atom. As for the density of states at the Fermi level: 14.598 states/eV per cell.

(14)
VASP calculation (GGA-PBE) on a geometry-optimized AgSb2Br structure.

It has space group Imm2 (No. 44), with a = 4.036 Å, b = 4.263 Å, c = 13.661 Å, α = 90.00°, β = 90.00° and γ = 90.00°. The inequivalent atoms are Ag at (0.000, 0.000, 0.000), Sb at (0.000, 0.000, 0.495), Sb at (0.000, 0.500, 0.153) and Br at (0.000, 0.500, 0.770).

The energy relative to the lowest polymorph listed for this composition comes out at 136 meV per atom. As for the density of states at the Fermi level: 2.630 states/eV per cell. The raw formation energy is 0.01 eV/atom.

(15)
VASP calculation (GGA-PBE) on a geometry-optimized Rb7RhO6 structure.

It has space group Ibam (No. 72), with a = 7.311 Å, b = 13.283 Å, c = 14.017 Å, α = 90.00°, β = 90.00° and γ = 90.00°. The inequivalent atoms are Rb at (0.000, 0.000, 0.250), Rb at (0.144, 0.274, 0.126), Rb at (0.232, 0.037, 0.000), Rh at (0.000, 0.500, 0.250), O at (0.084, 0.156, 0.500) and O at (0.167, 0.401, 0.296).

As for the density of states at the Fermi level: 57.444 states/eV per cell. The raw formation energy is -1.02 eV/atom.

(16)
VASP calculation (GGA-PBE) on a geometry-optimized AsBrCl2 structure.

It has space group I-42d (No. 122), with a = 7.875 Å, b = 7.875 Å, c = 10.997 Å, α = 90.00°, β = 90.00° and γ = 90.00°. The inequivalent atoms are As at (0.000, 0.000, 0.000), Br at (0.000, 0.000, 0.500) and Cl at (0.004, 0.750, 0.125).

The energy relative to the lowest polymorph listed for this composition comes out at 710 meV per atom. As for the density of states at the Fermi level: 17.692 states/eV per cell. The raw formation energy is 0.09 eV/atom.

(17)
VASP calculation (GGA-PBE) on a geometry-optimized Na2Ni2H5 structure.

It has space group P4/mmm (No. 123), with a = 3.380 Å, b = 3.380 Å, c = 6.829 Å, α = 90.00°, β = 90.00° and γ = 90.00°. The inequivalent atoms are Na at (0.000, 0.000, 0.000), Na at (0.000, 0.000, 0.500), Ni at (0.500, 0.500, 0.245), H at (0.000, 0.500, 0.259) and H at (0.500, 0.500, 0.000).

The energy relative to the lowest polymorph listed for this composition comes out at 0 meV per atom. As for the density of states at the Fermi level: 2.845 states/eV per cell.

no.,volume (Å³/atom),M_tot (Bohr magnetons per cell),electronic total energy (eV/atom)
1,19.08,0.00,-4.80
2,15.65,2.08,-4.14
3,24.64,0.00,-4.63
4,24.11,0.00,-3.24
5,10.21,0.00,-4.59
6,21.51,0.00,-3.15
7,13.64,0.00,-5.02
8,26.07,3.66,-3.24
9,12.81,2.23,-6.45
10,25.31,0.00,-4.84
11,20.20,0.00,-6.38
12,21.95,0.00,-3.50
13,28.53,11.72,-3.79
14,29.38,0.00,-3.18
15,24.31,11.10,-4.15
16,42.62,1.51,-2.41
17,8.67,0.00,-3.55